# 1
Crystalline Ce2Si2Sn at its relaxed geometry. Source: the Alexandria database, functional PBE-GGA.

Calculated values
* raw formation energy: -0.67 eV/atom

Cell lengths 4.198, 3.940, 7.252 Å; angles 105.76, 90.00, 90.00 degrees
Last column: magnetic moment on the atom in μB.
Fractional positions:
Ce 0.500 0.631 0.262  0.37
Ce 0.500 0.369 0.738  0.37
Si 0.000 0.203 0.406  0.00
Si 0.000 0.797 0.594  0.00
Sn 0.000 0.000 0.000  -0.01

=====

# 2
Crystalline TmZr2Rh3 at its relaxed geometry. Source: the Alexandria database, functional PBE-GGA.

Calculated values
* energy of formation from the pure elements: -0.833 eV/atom

Cell lengths 3.353, 3.353, 9.838 Å; angles 90.00, 90.00, 90.00 degrees
Fractional positions:
Tm 0.500 0.500 0.500
Zr 0.500 0.500 0.835
Zr 0.500 0.500 0.165
Rh 0.000 0.000 0.000
Rh 0.000 0.000 0.678
Rh 0.000 0.000 0.322